Entry from Alexandria: a relaxed structure of TaBe2Se (PBE).

The structure in CIF format:
```
data_TaBe2Se
_space_group_name_H-M_alt 'P 1'
_space_group_IT_number 1
_cell_length_a 3.614
_cell_length_b 3.066
_cell_length_c 5.030
_cell_angle_alpha 91.52
_cell_angle_beta 90.00
_cell_angle_gamma 90.00
loop_
_space_group_symop_operation_xyz
'x,y,z'
loop_
_atom_site_label
_atom_site_type_symbol
_atom_site_fract_x
_atom_site_fract_y
_atom_site_fract_z
Be1 Be 0.000 0.245 0.003
Be2 Be 0.500 0.283 0.206
Se1 Se 0.000 0.236 0.503
Ta1 Ta 0.500 0.736 0.789
```

The uncorrected formation energy comes out at 0.56 eV/f.u. Its energy is -5.556 eV per atom.

Entry from Alexandria: a relaxed structure of Dy8Sb3Te4S (PBE).

The structure in CIF format:
```
data_Dy8Sb3Te4S
_space_group_name_H-M_alt 'P 1'
_space_group_IT_number 1
_cell_length_a 8.609
_cell_length_b 8.674
_cell_length_c 8.609
_cell_angle_alpha 119.75
_cell_angle_beta 120.00
_cell_angle_gamma 90.00
loop_
_space_group_symop_operation_xyz
'x,y,z'
loop_
_atom_site_label
_atom_site_type_symbol
_atom_site_fract_x
_atom_site_fract_y
_atom_site_fract_z
Dy1 Dy 0.232 0.726 0.994
Dy2 Dy 0.232 0.726 0.465
Dy3 Dy 0.253 0.260 0.507
Dy4 Dy 0.762 0.726 0.994
Dy5 Dy 0.238 0.274 0.006
Dy6 Dy 0.747 0.740 0.493
Dy7 Dy 0.768 0.274 0.535
Dy8 Dy 0.768 0.274 0.006
Sb1 Sb 0.500 0.500 0.000
Sb2 Sb 0.500 0.500 0.500
Sb3 Sb 0.000 0.500 0.500
Te1 Te 0.500 0.000 0.000
Te2 Te 0.500 0.000 0.500
Te3 Te 0.000 0.000 0.000
Te4 Te 0.000 0.000 0.500
S1 S 0.000 0.500 0.000
```

The uncorrected formation energy comes out at -21.29 eV/f.u. Its energy is -5.448 eV per atom.

Entry from Alexandria: a relaxed structure of Ba2LiF (PBE).

The structure in CIF format:
```
data_Ba2LiF
_space_group_name_H-M_alt 'P 1'
_space_group_IT_number 1
_cell_length_a 4.395
_cell_length_b 4.395
_cell_length_c 8.698
_cell_angle_alpha 75.37
_cell_angle_beta 75.37
_cell_angle_gamma 60.00
loop_
_space_group_symop_operation_xyz
'x,y,z'
loop_
_atom_site_label
_atom_site_type_symbol
_atom_site_fract_x
_atom_site_fract_y
_atom_site_fract_z
Li1 Li 0.500 0.500 0.500
Ba1 Ba 0.730 0.730 0.811
Ba2 Ba 0.270 0.270 0.189
F1 F 0.000 0.000 0.000
```

The calculation puts the distance to the lowest polymorph of the same formula at 122 meV per atom. The uncorrected formation energy comes out at -4.64 eV/f.u. Its energy is -3.067 eV per atom.

Entry from Alexandria: a relaxed structure of PmCd6Ag (PBE).

The structure in CIF format:
```
data_PmCd6Ag
_space_group_name_H-M_alt 'P 1'
_space_group_IT_number 1
_cell_length_a 4.823
_cell_length_b 6.411
_cell_length_c 6.411
_cell_angle_alpha 109.25
_cell_angle_beta 90.00
_cell_angle_gamma 90.00
loop_
_space_group_symop_operation_xyz
'x,y,z'
loop_
_atom_site_label
_atom_site_type_symbol
_atom_site_fract_x
_atom_site_fract_y
_atom_site_fract_z
Pm1 Pm 0.500 0.366 0.634
Cd1 Cd 0.000 0.052 0.362
Cd2 Cd 0.000 0.638 0.948
Cd3 Cd 0.000 0.566 0.434
Cd4 Cd 0.500 0.442 0.143
Cd5 Cd 0.500 0.857 0.558
Cd6 Cd 0.500 0.942 0.058
Ag1 Ag 0.000 0.136 0.864
```

Its energy is -1.754 eV per atom. Its energy relative to the elements is -0.117 eV per atom.